! SrNiGe PBE-GGA optimized geometry; values from VASP
! Calculated total energy (eV per atom): -3.99
! Volume (Å³/atom): 22.990
&SYSTEM
  ibrav = 0, nat = 3, ntyp = 3
/
ATOMIC_SPECIES
Ni 58.69 Ni.upf
Sr 87.62 Sr.upf
Ge 72.64 Ge.upf
CELL_PARAMETERS angstrom
-2.9992 -3.3048 1.1281
-4.2379 0.0268 -1.7969
-1.2023 -3.1757 -3.1079
ATOMIC_POSITIONS crystal
Ni 0.0000 0.0000 0.0000
Sr 0.7500 0.7500 0.7500
Ge 0.2500 0.2500 0.2500